1.
Ba8Pd4Br PBE-GGA relaxed; symmetry = Cm, No. 8; formation energy (no corrections) = -594 meV per atom
1.0
11.478 -2.336 0.000
11.478 2.336 0.000
-10.997 0.000 11.499
Ba Pd Br
8 4 1
direct
0.000 0.000 0.000
0.001 0.001 0.277
0.044 0.044 0.642
0.307 0.307 0.931
0.389 0.389 0.679
0.651 0.651 0.964
0.692 0.692 0.605
0.695 0.695 0.333
0.020 0.020 0.818
0.195 0.195 0.471
0.502 0.502 0.138
0.679 0.679 0.795
0.486 0.486 0.426

=====

2.
PmY4Ga4 PBE-GGA relaxed; ΔH_f (0 K) = -0.3889 eV per atom; symmetry = P4_2/n, No. 86
1.0
9.172 0.000 0.000
0.000 9.172 0.000
0.000 0.000 5.949
Pm Y Ga
2 8 8
direct
0.250 0.250 0.250
0.750 0.750 0.750
0.072 0.657 0.130
0.157 0.928 0.630
0.343 0.572 0.630
0.428 0.843 0.130
0.572 0.157 0.870
0.657 0.428 0.370
0.843 0.072 0.370
0.928 0.343 0.870
0.026 0.615 0.621
0.115 0.974 0.121
0.385 0.526 0.121
0.474 0.885 0.621
0.526 0.115 0.379
0.615 0.474 0.879
0.885 0.026 0.879
0.974 0.385 0.379

=====

3.
Pm5ThGe4 PBE-GGA relaxed; ΔH_f (0 K) = -0.5750 eV per atom; symmetry = C2/m, No. 12
1.0
9.544 -2.214 0.000
9.544 2.214 0.000
-3.270 0.000 7.289
Pm Th Ge
5 1 4
direct
0.000 0.000 0.000
0.331 0.331 0.559
0.337 0.337 0.073
0.663 0.663 0.927
0.669 0.669 0.441
0.000 0.000 0.500
0.187 0.187 0.702
0.495 0.495 0.751
0.505 0.505 0.249
0.813 0.813 0.298

=====

4.
ScCrH3 PBE-GGA relaxed; symmetry = Pm-3m, No. 221; E_tot = -5.486 eV per atom
1.0
3.386 0.000 0.000
0.000 3.386 0.000
0.000 0.000 3.386
Sc Cr H
1 1 3
direct
0.000 0.000 0.000
0.500 0.500 0.500
0.000 0.500 0.500
0.500 0.000 0.500
0.500 0.500 0.000